# 1
Entry from the Alexandria database: a geometry-optimized NaAlSe2 structure (GGA-PBE).

```
data_NaAlSe2
_chemical_formula_sum 'Na1 Al1 Se2'
_cell_length_a 3.9428
_cell_length_b 3.9428
_cell_length_c 5.3792
_cell_angle_alpha 90.00
_cell_angle_beta 90.00
_cell_angle_gamma 90.00
_space_group_name_H-M_alt 'P 1'
_space_group_IT_number 1
loop_
_space_group_symop_operation_xyz
'x,y,z'
loop_
_atom_site_label
_atom_site_fract_x
_atom_site_fract_y
_atom_site_fract_z
Na1 0.0000 0.0000 0.0000
Al1 0.5000 0.5000 0.5000
Se1 0.0000 0.0000 0.5000
Se2 0.5000 0.5000 0.0000
```

As for the space-group type: No. 123.

---

# 2
Entry from the Alexandria database: a geometry-optimized NaAlSe2 structure (GGA-PBE).

```
data_NaAlSe2
_chemical_formula_sum 'Na2 Al2 Se4'
_cell_length_a 3.9395
_cell_length_b 7.1352
_cell_length_c 8.2775
_cell_angle_alpha 95.17
_cell_angle_beta 91.67
_cell_angle_gamma 90.05
_space_group_name_H-M_alt 'P 1'
_space_group_IT_number 1
loop_
_space_group_symop_operation_xyz
'x,y,z'
loop_
_atom_site_label
_atom_site_fract_x
_atom_site_fract_y
_atom_site_fract_z
Na1 0.0000 0.0000 0.0000
Na2 0.0239 0.3655 0.3968
Al1 0.4897 0.3857 0.8526
Al2 0.5108 0.6485 0.1612
Se1 0.0205 0.7666 0.3136
Se2 0.4928 0.7199 0.8834
Se3 0.5083 0.3007 0.1343
Se4 0.9813 0.2418 0.7173
```

As for the space-group type: No. 1.

---

# 3
Entry from the Alexandria database: a geometry-optimized NaAlSe2 structure (GGA-PBE).

```
data_NaAlSe2
_chemical_formula_sum 'Na4 Al4 Se8'
_cell_length_a 13.4294
_cell_length_b 4.9212
_cell_length_c 6.3696
_cell_angle_alpha 90.00
_cell_angle_beta 103.06
_cell_angle_gamma 90.00
_space_group_name_H-M_alt 'P 1'
_space_group_IT_number 1
loop_
_space_group_symop_operation_xyz
'x,y,z'
loop_
_atom_site_label
_atom_site_fract_x
_atom_site_fract_y
_atom_site_fract_z
Na1 0.0000 0.2497 0.0000
Na2 0.0000 0.7503 0.5000
Na3 0.5000 0.2503 0.5000
Na4 0.5000 0.7497 0.0000
Al1 0.2501 0.0008 0.2499
Al2 0.2501 0.9992 0.7499
Al3 0.7501 0.4992 0.7499
Al4 0.7501 0.5008 0.2499
Se1 0.1402 0.2289 0.4479
Se2 0.1402 0.7711 0.9479
Se3 0.3600 0.2286 0.0521
Se4 0.3600 0.7714 0.5521
Se5 0.6402 0.2711 0.9479
Se6 0.6402 0.7289 0.4479
Se7 0.8600 0.2714 0.5521
Se8 0.8600 0.7286 0.0521
```

As for the space-group type: No. 9.

---

# 4
Entry from the Alexandria database: a geometry-optimized NaAlSe2 structure (GGA-PBE).

```
data_NaAlSe2
_chemical_formula_sum 'Na2 Al2 Se4'
_cell_length_a 6.0488
_cell_length_b 7.7318
_cell_length_c 7.7547
_cell_angle_alpha 82.83
_cell_angle_beta 67.14
_cell_angle_gamma 67.52
_space_group_name_H-M_alt 'P 1'
_space_group_IT_number 1
loop_
_space_group_symop_operation_xyz
'x,y,z'
loop_
_atom_site_label
_atom_site_fract_x
_atom_site_fract_y
_atom_site_fract_z
Na1 0.0000 0.0000 0.0000
Na2 0.0009 0.4999 0.4994
Al1 0.2600 0.9898 0.4903
Al2 0.7407 0.0098 0.5099
Se1 0.0028 0.1831 0.3153
Se2 0.2969 0.1893 0.6882
Se3 0.7038 0.8105 0.3119
Se4 0.9981 0.8163 0.6847
```

As for the space-group type: No. 1.

---

Taking the records one at a time from the top gives ΔE_f (raw) values of -14.32; -23.18; -23.30; -23.70 kcal/mol of atoms.
Taking the records one at a time from the top gives E_tot values of -14.51; -32.10; -64.29; -32.28 eV per cell.
Taking the records one at a time from the top gives volume values of 83.6; 231.6; 410.1; 308.7 Å³/cell.